Record 1
Density functional theory data (PBE-GGA) for a geometry-optimized BaTl2Cd structure.

The calculation puts the energy of formation at -0.75 eV per formula unit. The value obtained for the density of states at the Fermi level is 0.58 states/eV/atom. The calculation puts the total magnetization at 0.00 μB/cell.

It has space group Pm (No. 6), with a = 3.983 Å, b = 5.135 Å, c = 6.817 Å, α = 90.00°, β = 101.99° and γ = 90.00°. Symmetry generates all atoms from Ba at (0.000, 0.000, 0.000), Tl at (0.273, 0.500, 0.672), Tl at (0.626, 0.000, 0.481) and Cd at (0.590, 0.500, 0.241).



Record 2
Density functional theory data (PBE-GGA) for a geometry-optimized TlCuIrF6 structure.

Its formation energy from raw total energies is -13.773 eV per formula unit. The value obtained for the density of states at the Fermi level is 0.69 states/eV/atom. The calculation puts the total magnetization at 1.06 μB/cell.

It has space group P312 (No. 149), with a = 5.5871 Å, b = 5.5871 Å, c = 5.9086 Å, α = 90.00°, β = 90.00° and γ = 120.00°. Symmetry generates all atoms from Tl at (0.0000, 0.0000, 0.0000), Cu at (0.3333, 0.6667, 0.5000), Ir at (0.6667, 0.3333, 0.5000) and F at (0.3723, 0.0173, 0.6790).



For reference, uncorrected energy by record: -2.08; -4.48 eV/atom.